First-principles (GGA-PBE) data for a relaxed structure of TbNd2Sc2, as listed in Alexandria via LeMat-Bulk.

The structure belongs to space group C2/c (No. 15); the cell edges are 8.848, 15.860 and 5.649 Å and the angles 90.00°, 129.10° and 90.00°. Symmetry generates all atoms from Tb at (0.000, 0.162, 0.250), Nd at (0.241, 0.064, 0.994), Sc at (0.000, 0.260, 0.750) and Sc at (0.000, 0.377, 0.250).

Its distance to the lowest polymorph of the same formula is 0.111 eV/atom. As for the crystal system: monoclinic. The value obtained for the energy of formation from the pure elements is 0.17 eV/atom.